1.
The following is a DFT calculation (meta-GGA SCAN) of Re3Tc at its PBEsol-relaxed geometry.

```
4
Lattice="2.732 0.000 0.000 0.000 2.732 0.000 0.000 0.000 7.765" Properties=species:S:1:pos:R:3 pbc="T T T"
Re 0.000 0.000 5.813
Re 0.000 0.000 1.953
Re 1.366 1.366 0.000
Tc 1.366 1.366 3.883
```

- Symmetry: No. 123
- Offset from the most stable computed form: 58 meV per atom
- DFT formation energy: 0.049 eV per atom
- Calculated total energy: -62.04 eV/atom



2.
The following is a DFT calculation (meta-GGA SCAN) of Re5Tc at its PBEsol-relaxed geometry.

```
6
Lattice="-1.472 -2.297 -0.223 2.299 -1.435 -0.390 0.896 -1.687 11.479" Properties=species:S:1:pos:R:3 pbc="T T T"
Re 0.748 -1.409 9.583
Re 0.148 -0.279 1.896
Re 1.011 -2.992 7.351
Re 0.711 -2.428 3.515
Re 0.448 -0.844 5.740
Tc 0.413 -1.866 -0.307
```

- Symmetry: No. 123
- Offset from the most stable computed form: 53 meV per atom
- DFT formation energy: 0.049 eV per atom
- Calculated total energy: -65.04 eV/atom



3.
The following is a DFT calculation (meta-GGA SCAN) of Re3Tc at its PBEsol-relaxed geometry.

```
4
Lattice="-0.915 1.331 -2.216 0.207 -4.040 -2.512 -3.813 0.420 3.523" Properties=species:S:1:pos:R:3 pbc="T T T"
Re -2.091 -0.472 0.580
Re -0.285 -2.693 -3.196
Re -2.430 -1.823 -1.788
Tc 0.069 -1.350 -0.839
```

- Symmetry: No. 44
- Offset from the most stable computed form: 1 meV per atom
- DFT formation energy: -0.007 eV per atom
- Calculated total energy: -62.10 eV/atom



4.
The following is a DFT calculation (meta-GGA SCAN) of Re3Tc at its PBEsol-relaxed geometry.

```
16
Lattice="-0.602 0.884 4.630 -3.528 -4.190 0.341 6.692 -5.479 1.916" Properties=species:S:1:pos:R:3 pbc="T T T"
Re 4.528 -4.559 1.866
Re 4.022 -7.424 5.601
Re 0.702 -4.706 4.650
Re 2.441 -2.590 4.467
Re -0.879 0.128 3.516
Re -0.782 -3.620 2.620
Re 3.345 -5.165 4.267
Re 3.442 -8.913 3.371
Re 0.122 -6.195 2.420
Re 1.860 -4.079 2.237
Re -1.460 -1.361 1.286
Re -1.966 -4.226 5.021
Tc -0.202 -2.132 4.849
Tc 1.581 -7.260 4.438
Tc 0.982 -1.525 2.449
Tc 2.764 -6.653 2.038
```

- Symmetry: No. 62
- Offset from the most stable computed form: 0 meV per atom
- DFT formation energy: -0.009 eV per atom
- Calculated total energy: -62.10 eV/atom



What is the formula in the fourth record?
Re3Tc